10
Lattice="2.610 1.507 4.648 -2.610 1.507 4.648 0.000 -3.013 4.648" Properties=species:S:1:pos:R:3 comment="ZrCr2NiO6, optimized geometry, DFT PBE+U" total_energy_ev_per_atom=-7.727 magmom_total_mub_per_cell=8.000 pbc="T T T"
Zr 0.000 0.000 0.000
Cr 0.000 0.000 2.894
Cr 0.000 0.000 9.928
Ni 0.000 0.000 7.083
O -0.847 -1.701 6.224
O -1.564 0.103 8.561
O -1.050 1.584 6.224
O 0.693 -1.406 8.561
O 1.897 0.117 6.224
O 0.872 1.303 8.561